PmTm3Hg4 | PBE | optimized geometry

Values from the calculation:
total DFT energy (no corrections)	-46.30	eV/cell
energy relative to the elements	-0.47	eV/atom
energy above the lowest structure with this stoichiometry	0.00	kJ per mole of atoms
SG	No. 123

Unit cell a=5.2027 b=7.5493 c=10.4060 alpha=90.00 beta=90.00 gamma=90.00
Last column: magnetic moment on the atom in μB.
Fractional coordinates of all 16 atoms:
Tm1 0.5007 0.0000 0.2500  0.01
Hg1 0.5000 0.7611 0.5000  0.00
Tm2 0.0000 0.0000 0.5000  0.02
Hg2 0.5000 0.2389 0.5000  0.00
Hg3 0.9991 0.7611 0.7500  0.00
Pm1 0.0000 0.5000 0.0000  0.10
Hg4 0.0009 0.2389 0.2500  0.00
Hg5 0.0009 0.7611 0.2500  0.00
Hg6 0.5000 0.2389 0.0000  0.00
Tm3 0.5006 0.5000 0.2500  0.12
Tm4 0.4994 0.5000 0.7500  0.12
Hg7 0.9991 0.2389 0.7500  0.00
Tm5 0.0000 0.0000 0.0000  0.02
Pm2 0.0000 0.5000 0.5000  0.10
Tm6 0.4993 0.0000 0.7500  0.01
Hg8 0.5000 0.7611 0.0000  0.00